Density functional theory data (PBE) for a geometry-optimized Hf2Au2N structure.

Unit cell a=5.957 b=5.957 c=5.957 alpha=132.84 beta=132.84 gamma=68.90
Element x y z (fractional)
Hf1 0.250 0.750 0.500
Hf2 0.750 0.250 0.500
Au1 0.129 0.129 0.000
Au2 0.871 0.871 0.000
N1 0.500 0.500 0.000

## Properties
The value obtained for the density of states at the Fermi level is 1.03 states/eV per atom. As for the space group: No. 139. The energy above the lowest structure with this stoichiometry is 556 meV per atom. The formation energy (no corrections) is 96.0 kJ/mol of atoms.